## TaHg2Se (PBE-GGA)

Data for a relaxed structure of TaHg2Se.

POSCAR file:
```
TaHg2Se
1.0
-0.851 6.532 -2.572
-4.358 2.466 -4.994
1.568 -3.102 6.159
Hg Se Ta
2 1 1
Cartesian
-0.368 0.635 -0.534
-0.852 3.805 0.036
-2.219 3.833 -3.223
-2.808 2.123 -1.469
```

Computed properties:
Final energy (eV/cell): -15.60
Fermi-level density of states (states/eV/cell): 1.94
Formation energy from raw total energies (kJ/mol of atoms): 8.3
Space group: Imm2 (44)